A geometry-optimized KAsS2N structure. Source: Alexandria, functional PBE.

```
KAsS2N
1.0
5.650 0.000 0.000
0.000 5.650 0.000
0.000 0.000 4.843
K As S N
1 1 2 1
Direct
0.000 0.000 0.000
0.500 0.500 0.500
0.000 0.500 0.000
0.500 0.000 0.000
0.000 0.000 0.500
```

Output
E_tot = -2.562 eV/atom
Relative energy among the computed polymorphs = 1.498 eV per atom
Symmetry = P4/mmm

A geometry-optimized KAsS2N structure. Source: Alexandria, functional PBE.

```
KAsS2N
1.0
4.984 0.000 0.000
0.000 4.984 0.000
0.000 0.000 3.996
K As S N
1 1 2 1
Direct
0.000 0.000 0.000
0.500 0.500 0.500
0.000 0.500 0.500
0.500 0.000 0.500
0.500 0.500 0.000
```

Output
E_tot = -4.060 eV/atom
Relative energy among the computed polymorphs = 0.000 eV per atom
Symmetry = P4/mmm

A geometry-optimized KAsSN2 structure. Source: Alexandria, functional PBE.

```
KAsSN2
1.0
4.138 0.000 0.000
0.000 4.138 0.000
0.000 0.000 4.930
K As S N
1 1 1 2
Direct
0.000 0.000 0.000
0.500 0.500 0.500
0.500 0.500 0.000
0.000 0.500 0.500
0.500 0.000 0.500
```

Output
E_tot = -4.353 eV/atom
Relative energy among the computed polymorphs = 0.000 eV per atom
Symmetry = P4/mmm

A geometry-optimized KAsSe2N structure. Source: Alexandria, functional PBE.

```
KAsSe2N
1.0
6.111 0.000 0.000
0.000 6.111 0.000
0.000 0.000 6.144
K As Se N
1 1 2 1
Direct
0.000 0.000 0.000
0.000 0.000 0.500
0.000 0.500 0.000
0.500 0.000 0.000
0.500 0.500 0.500
```

Output
E_tot = -2.113 eV/atom
Relative energy among the computed polymorphs = 1.734 eV per atom
Symmetry = P4/mmm

A geometry-optimized KAsSeN2 structure. Source: Alexandria, functional PBE.

```
KAsSeN2
1.0
4.646 0.000 0.000
0.000 4.646 0.000
0.000 0.000 6.323
K As Se N
1 1 1 2
Direct
0.000 0.000 0.000
0.500 0.500 0.500
0.000 0.000 0.500
0.000 0.500 0.000
0.500 0.000 0.000
```

Output
E_tot = -2.538 eV/atom
Relative energy among the computed polymorphs = 1.630 eV per atom
Symmetry = P4/mmm

A geometry-optimized KAsSe2N structure. Source: Alexandria, functional PBE.

```
KAsSe2N
1.0
5.855 0.000 0.000
0.000 5.855 0.000
0.000 0.000 4.817
K As Se N
1 1 2 1
Direct
0.000 0.000 0.000
0.500 0.500 0.500
0.000 0.500 0.000
0.500 0.000 0.000
0.000 0.000 0.500
```

Output
E_tot = -2.465 eV/atom
Relative energy among the computed polymorphs = 1.381 eV per atom
Symmetry = P4/mmm

A geometry-optimized KAsSe2N structure. Source: Alexandria, functional PBE.

```
KAsSe2N
1.0
5.580 0.000 0.000
0.000 5.580 0.000
0.000 0.000 3.633
K As Se N
1 1 2 1
Direct
0.000 0.000 0.000
0.500 0.500 0.500
0.000 0.500 0.500
0.500 0.000 0.500
0.500 0.500 0.000
```

Output
E_tot = -3.847 eV/atom
Relative energy among the computed polymorphs = 0.000 eV per atom
Symmetry = P4/mmm

A geometry-optimized KAsSe2N structure. Source: Alexandria, functional PBE.

```
KAsSe2N
1.0
5.165 0.000 0.000
0.000 5.165 0.000
0.000 0.000 3.998
K As Se N
1 1 2 1
Direct
0.000 0.000 0.000
0.500 0.500 0.000
0.000 0.500 0.500
0.500 0.000 0.500
0.500 0.500 0.500
```

Output
E_tot = -3.653 eV/atom
Relative energy among the computed polymorphs = 0.193 eV per atom
Symmetry = P4/mmm

A geometry-optimized KAsSeN2 structure. Source: Alexandria, functional PBE.

```
KAsSeN2
1.0
4.231 0.000 0.000
0.000 4.231 0.000
0.000 0.000 5.190
K As Se N
1 1 1 2
Direct
0.000 0.000 0.000
0.500 0.500 0.500
0.500 0.500 0.000
0.000 0.500 0.500
0.500 0.000 0.500
```

Output
E_tot = -4.168 eV/atom
Relative energy among the computed polymorphs = 0.000 eV per atom
Symmetry = P4/mmm

A geometry-optimized KTe2AsN structure. Source: Alexandria, functional PBE.

```
KTe2AsN
1.0
6.222 0.000 0.000
0.000 6.222 0.000
0.000 0.000 3.569
K Te As N
1 2 1 1
Direct
0.000 0.000 0.000
0.000 0.500 0.500
0.500 0.000 0.500
0.500 0.500 0.500
0.500 0.500 0.000
```

Output
E_tot = -3.744 eV/atom
Relative energy among the computed polymorphs = 0.000 eV per atom
Symmetry = P4/mmm

A geometry-optimized KTe2AsN structure. Source: Alexandria, functional PBE.

```
KTe2AsN
1.0
5.957 0.000 0.000
0.000 5.957 0.000
0.000 0.000 4.237
K Te As N
1 2 1 1
Direct
0.000 0.000 0.000
0.000 0.500 0.000
0.500 0.000 0.000
0.500 0.500 0.500
0.000 0.000 0.500
```

Output
E_tot = -2.201 eV/atom
Relative energy among the computed polymorphs = 1.543 eV per atom
Symmetry = P4/mmm

A geometry-optimized KTeAs2N structure. Source: Alexandria, functional PBE.

```
KTeAs2N
1.0
4.461 0.000 0.000
0.000 4.461 0.000
0.000 0.000 5.308
K Te As N
1 1 2 1
Direct
0.000 0.000 0.000
0.500 0.500 0.000
0.000 0.500 0.500
0.500 0.000 0.500
0.000 0.000 0.500
```

Output
E_tot = -3.900 eV/atom
Symmetry = P4/mmm

A geometry-optimized KTi2AsN structure. Source: Alexandria, functional PBE.

```
KTi2AsN
1.0
4.858 0.000 0.000
0.000 4.858 0.000
0.000 0.000 6.180
K Ti As N
1 2 1 1
Direct
0.000 0.000 0.000
0.000 0.500 0.500
0.500 0.000 0.500
0.000 0.000 0.500
0.500 0.500 0.000
```

Output
E_tot = -4.819 eV/atom
Symmetry = P4/mmm

A geometry-optimized KZrAsN2 structure. Source: Alexandria, functional PBE.

```
KZrAsN2
1.0
4.042 0.000 0.000
0.000 4.042 0.000
0.000 0.000 6.842
K Zr As N
1 1 1 2
Direct
0.000 0.000 0.000
0.000 0.000 0.500
0.500 0.500 0.500
0.000 0.500 0.000
0.500 0.000 0.000
```

Output
E_tot = -3.662 eV/atom
Relative energy among the computed polymorphs = 2.222 eV per atom
Symmetry = P4/mmm

A geometry-optimized KZrAsN2 structure. Source: Alexandria, functional PBE.

```
KZrAsN2
1.0
4.421 0.000 0.000
0.000 4.421 0.000
0.000 0.000 5.320
K Zr As N
1 1 1 2
Direct
0.000 0.000 0.000
0.500 0.500 0.500
0.500 0.500 0.000
0.000 0.500 0.500
0.500 0.000 0.500
```

Output
E_tot = -5.883 eV/atom
Relative energy among the computed polymorphs = 0.000 eV per atom
Symmetry = P4/mmm

Calculated Fermi-level density of states (states/eV/cell), listed in the same order as above: 4.6 2.7 2.0 8.9 4.4 4.4 3.6 4.5 2.3 3.6 8.4 3.5 4.0 4.8 4.4
Calculated V (A^3/atom), listed in the same order as above: 30.92 19.85 16.89 45.89 27.30 33.03 22.62 21.33 18.58 27.63 30.07 21.12 29.16 22.36 20.79
Calculated formation energy without anion corrections (meV/atom), listed in the same order as above: 1903.5 405.4 952.0 2095.4 2638.7 1742.9 361.6 555.1 1008.7 326.8 1870.1 473.2 1153.1 2527.6 305.9